No. 1
# Ca2NiSnGe

A relaxed structure of Ca2NiSnGe (PBE-GGA, Alexandria via LeMat-Bulk).

Lattice parameters (Å, degrees): 5.2731 4.7550 5.2731 90.00 90.00 90.00
Closest atoms and distances in Å follow each position.
Atoms (fractional coordinates):
Ni1 0.0000 0.0000 0.0000  2 Sn 2.38, 4 Ca 2.64
Ge1 0.5000 0.5000 0.5000  8 Ca 3.55, 4 Sn 3.73
Ca1 0.0000 0.0000 0.5000  2 Ni 2.64
Ca2 0.5000 0.0000 0.0000  2 Ni 2.64
Sn1 0.0000 0.5000 0.0000  2 Ni 2.38

Properties
* space-group type: P4/mmm (123)
* total DFT energy (no corrections): -3.894 eV/atom



No. 2
# Ca2Ni4Sn3Ge

A relaxed structure of Ca2Ni4Sn3Ge (PBE-GGA, Alexandria via LeMat-Bulk).

Lattice parameters (Å, degrees): 4.3104 4.3104 10.4285 90.00 90.00 90.00
Closest atoms and distances in Å follow each position.
Atoms (fractional coordinates):
Ca1 0.5000 0.0000 0.2526  8 Ni 3.30-3.40, 6 Sn 3.30-3.36, 2 Ge 3.36
Ca2 0.0000 0.5000 0.7474  8 Ni 3.30-3.40, 6 Sn 3.30-3.36, 2 Ge 3.36
Ni1 0.5000 0.5000 0.0000  4 Sn 2.55
Ni2 0.0000 0.0000 0.0000  4 Sn 2.55
Ni3 0.5000 0.0000 0.6253  3 Sn 2.52-2.55, 2 Ge 2.52
Ni4 0.0000 0.5000 0.3747  3 Sn 2.52-2.55, 2 Ge 2.52
Sn1 0.0000 0.0000 0.5000  4 Ni 2.52
Sn2 0.5000 0.0000 0.8699  5 Ni 2.55
Sn3 0.0000 0.5000 0.1301  5 Ni 2.55
Ge1 0.5000 0.5000 0.5000  4 Ni 2.52

Properties
* space-group type: P-4m2 (115)
* total DFT energy (no corrections): -4.777 eV/atom



No. 3
# Ca2Ni4SnGe3

A relaxed structure of Ca2Ni4SnGe3 (PBE-GGA, Alexandria via LeMat-Bulk).

Lattice parameters (Å, degrees): 4.1783 4.1783 10.0004 90.00 90.00 90.00
Closest atoms and distances in Å follow each position.
Atoms (fractional coordinates):
Ca1 0.5000 0.0000 0.2388  8 Ni 3.17-3.18, 6 Ge 3.19-3.35, 2 Sn 3.35
Ca2 0.0000 0.5000 0.7612  8 Ni 3.17-3.18, 6 Ge 3.19-3.35, 2 Sn 3.35
Ni1 0.5000 0.5000 0.0000  4 Ge 2.40
Ni2 0.0000 0.0000 0.0000  4 Ge 2.40
Ni3 0.5000 0.0000 0.6439  3 Ge 2.38-2.54, 2 Sn 2.54
Ni4 0.0000 0.5000 0.3561  3 Ge 2.38-2.54, 2 Sn 2.54
Sn1 0.5000 0.5000 0.5000  4 Ni 2.54
Ge1 0.0000 0.0000 0.5000  4 Ni 2.54
Ge2 0.5000 0.0000 0.8816  5 Ni 2.38-2.40
Ge3 0.0000 0.5000 0.1184  5 Ni 2.38-2.40

Properties
* space-group type: P-4m2 (115)
* total DFT energy (no corrections): -4.986 eV/atom



No. 4
# CaVNi2Ge

A relaxed structure of CaVNi2Ge (PBE-GGA, Alexandria via LeMat-Bulk).

Lattice parameters (Å, degrees): 4.4925 4.7233 4.4925 90.00 90.00 90.00
Closest atoms and distances in Å follow each position.
Atoms (fractional coordinates):
Ni1 0.0000 0.0000 0.5000  2 Ge 2.25
Ni2 0.5000 0.0000 0.0000  2 Ge 2.25
Ge1 0.0000 0.0000 0.0000  4 Ni 2.25, 2 V 2.36
Ca1 0.5000 0.5000 0.5000  4 V 3.18, 8 Ni 3.26
V1 0.0000 0.5000 0.0000  2 Ge 2.36

Properties
* space-group type: P4/mmm (123)
* total DFT energy (no corrections): -5.162 eV/atom



No. 5
# Ca2Zn3NiGe4

A relaxed structure of Ca2Zn3NiGe4 (PBE-GGA, Alexandria via LeMat-Bulk).

Lattice parameters (Å, degrees): 4.2416 4.2416 10.5702 90.00 90.00 90.00
Closest atoms and distances in Å follow each position.
Atoms (fractional coordinates):
Ca1 0.5000 0.0000 0.2629  8 Ge 3.23-3.50, 6 Zn 3.26-3.28, 2 Ni 3.28
Ca2 0.0000 0.5000 0.7371  8 Ge 3.23-3.50, 6 Zn 3.26-3.28, 2 Ni 3.28
Zn1 0.0000 0.0000 0.5000  4 Ge 2.50
Zn2 0.5000 0.0000 0.8573  5 Ge 2.46-2.60
Zn3 0.0000 0.5000 0.1427  5 Ge 2.46-2.60
Ni1 0.5000 0.5000 0.5000  4 Ge 2.50
Ge1 0.5000 0.5000 0.0000  4 Zn 2.60
Ge2 0.0000 0.0000 0.0000  4 Zn 2.60
Ge3 0.5000 0.0000 0.6243  3 Zn 2.46-2.50, 2 Ni 2.50
Ge4 0.0000 0.5000 0.3757  3 Zn 2.46-2.50, 2 Ni 2.50

Properties
* space-group type: P-4m2 (115)
* total DFT energy (no corrections): -3.559 eV/atom



No. 6
# Ca2ZnNi4Ge3

A relaxed structure of Ca2ZnNi4Ge3 (PBE-GGA, Alexandria via LeMat-Bulk).

Lattice parameters (Å, degrees): 4.1691 4.1691 9.5563 90.00 90.00 90.00
Closest atoms and distances in Å follow each position.
Atoms (fractional coordinates):
Ca1 0.5000 0.0000 0.2468  8 Ni 3.15-3.18, 6 Ge 3.18-3.19, 2 Zn 3.19
Ca2 0.0000 0.5000 0.7532  8 Ni 3.15-3.18, 6 Ge 3.18-3.19, 2 Zn 3.19
Zn1 0.5000 0.5000 0.5000  4 Ni 2.42
Ni1 0.5000 0.5000 0.0000  4 Ge 2.39
Ni2 0.0000 0.0000 0.0000  4 Ge 2.39
Ni3 0.5000 0.0000 0.6295  3 Ge 2.36-2.42, 2 Zn 2.42
Ni4 0.0000 0.5000 0.3705  3 Ge 2.36-2.42, 2 Zn 2.42
Ge1 0.0000 0.0000 0.5000  4 Ni 2.42
Ge2 0.5000 0.0000 0.8767  5 Ni 2.36-2.39
Ge3 0.0000 0.5000 0.1233  5 Ni 2.36-2.39

Properties
* space-group type: P-4m2 (115)
* total DFT energy (no corrections): -4.708 eV/atom



No. 7
# CaZn2Ni2Ge

A relaxed structure of CaZn2Ni2Ge (PBE-GGA, Alexandria via LeMat-Bulk).

Lattice parameters (Å, degrees): 4.4035 4.4035 5.6619 90.00 90.00 90.00
Closest atoms and distances in Å follow each position.
Atoms (fractional coordinates):
Ca1 0.0000 0.0000 0.5000  2 Ge 2.83
Zn1 0.5000 0.5000 0.7409  4 Ni 2.65, 2 Zn 2.73-2.93
Zn2 0.5000 0.5000 0.2591  4 Ni 2.65, 2 Zn 2.73-2.93
Ni1 0.5000 0.0000 0.0000  2 Ge 2.20
Ni2 0.0000 0.5000 0.0000  2 Ge 2.20
Ge1 0.0000 0.0000 0.0000  4 Ni 2.20

Properties
* space-group type: P4/mmm (123)
* total DFT energy (no corrections): -3.618 eV/atom



No. 8
# CaNpGe4

A relaxed structure of CaNpGe4 (PBE-GGA, Alexandria via LeMat-Bulk).

Lattice parameters (Å, degrees): 5.6204 5.6204 5.6204 60.00 60.00 60.00
Closest atoms and distances in Å follow each position.
Atoms (fractional coordinates):
Np1 0.2500 0.2500 0.2500  12 Ge 3.29, 4 Ca 3.44
Ge1 0.6244 0.6244 0.1268  6 Ge 2.80-2.82
Ge2 0.6244 0.1268 0.6244  6 Ge 2.80-2.82
Ge3 0.6244 0.6244 0.6244  6 Ge 2.80-2.82
Ge4 0.1268 0.6244 0.6244  6 Ge 2.80-2.82
Ca1 0.0000 0.0000 0.0000  12 Ge 3.30, 4 Np 3.44

Properties
* space-group type: F-43m (216)
* total DFT energy (no corrections): -5.687 eV/atom